Record 1
This record from Alexandria via LeMat-Bulk describes a relaxed CsAc2HgO4 crystal. The functional is PBE.

a b c (Å): 3.929 6.871 13.953
angles (deg): 90.00 90.00 106.61
Atoms (fractional coordinates):
O 0.247 0.494 0.422
O 0.000 0.000 0.000
O 0.577 0.155 0.250
O 0.753 0.506 0.578
O 0.753 0.506 0.922
O 0.000 0.000 0.500
O 0.247 0.494 0.078
O 0.423 0.845 0.750
Ac 0.367 0.734 0.945
Ac 0.367 0.734 0.555
Ac 0.633 0.266 0.055
Ac 0.633 0.266 0.445
Cs 0.090 0.181 0.750
Cs 0.910 0.819 0.250
Hg 0.182 0.364 0.250
Hg 0.818 0.636 0.750

- ΔE_f (raw): -2.1369 eV/atom
- Raw total energy: -5.79 eV/atom
- Crystal system: orthorhombic

***

Record 2
This record from Alexandria via LeMat-Bulk describes a relaxed InCoIr2 crystal. The functional is PBE.

a b c (Å): 4.714 4.714 4.814
angles (deg): 79.72 79.72 35.09
Last column: magnetic moment on the atom in μB.
Atoms (fractional coordinates):
Co 0.494 0.494 0.523  0.82
Ir 0.006 0.006 0.967  -0.02
Ir 0.752 0.752 0.750  -0.04
In 0.248 0.248 0.261  -0.02

- Formation energy: 0.138 eV/atom
- Raw total energy: -6.75 eV/atom
- Crystal system: monoclinic

***

Record 3
This record from Alexandria via LeMat-Bulk describes a relaxed ZrScBe2 crystal. The functional is PBE.

a b c (Å): 4.249 4.249 5.627
angles (deg): 77.25 77.25 44.98
Atoms (fractional coordinates):
Zr 0.250 0.250 0.250
Sc 0.750 0.750 0.750
Be 0.500 0.500 0.508
Be 0.000 0.000 0.992

- Formation energy: 0.282 eV/atom
- Raw total energy: -5.30 eV/atom
- Distance to the lowest polymorph of the same formula: 352.1 meV per atom
- Crystal system: monoclinic

***

Record 4
This record from Alexandria via LeMat-Bulk describes a relaxed Nb3SbPb crystal. The functional is PBE.

a b c (Å): 5.077 5.077 5.077
angles (deg): 90.00 90.00 90.00
Atoms (fractional coordinates):
Nb 0.000 0.500 0.000
Nb 0.500 0.000 0.000
Nb 0.000 0.000 0.500
Sb 0.000 0.000 0.000
Pb 0.500 0.500 0.500

- ΔE_f (raw): 1.2996 eV/atom
- Raw total energy: -6.31 eV/atom
- Distance to the lowest polymorph of the same formula: 0.0 meV per atom
- Crystal system: cubic

***

Record 5
This record from Alexandria via LeMat-Bulk describes a relaxed MnSiGePt2 crystal. The functional is PBE.

a b c (Å): 4.694 4.589 4.694
angles (deg): 90.00 90.00 90.00
Last column: magnetic moment on the atom in μB.
Atoms (fractional coordinates):
Ge 0.000 0.000 0.000  0.01
Pt 0.000 0.000 0.500  -0.01
Pt 0.500 0.000 0.000  0.00
Si 0.500 0.500 0.500  -0.01
Mn 0.000 0.500 0.000  -0.20

- ΔE_f (raw): 0.9309 eV/atom
- Raw total energy: -5.33 eV/atom
- Crystal system: tetragonal

***

Record 6
This record from Alexandria via LeMat-Bulk describes a relaxed ScTcSe2 crystal. The functional is PBE.

a b c (Å): 6.182 6.182 6.182
angles (deg): 145.49 145.49 49.60
Last column: magnetic moment on the atom in μB.
Atoms (fractional coordinates):
Se 0.000 0.000 0.000  0.01
Se 0.250 0.750 0.500  0.01
Tc 0.500 0.500 0.000  0.83
Sc 0.750 0.250 0.500  -0.04

- ΔE_f (raw): -0.2939 eV/atom
- Raw total energy: -6.21 eV/atom
- Distance to the lowest polymorph of the same formula: 404.6 meV per atom
- Crystal system: tetragonal